First-principles (GGA-PBEsol) data for crystalline Ba2HgCl at its relaxed geometry, as listed in Alexandria.

a b c (Å): 4.611 4.611 8.387
angles (deg): 74.04 74.04 60.00
Fractional coordinates of all 4 atoms:
Hg (0.500, 0.500, 0.500)
Ba (0.746, 0.746, 0.762)
Ba (0.254, 0.254, 0.238)
Cl (0.000, 0.000, 0.000)

Computed properties:
ΔE_f (raw) = -1.13 eV per atom
polymorph energy (0 for the lowest one) = 0.000 eV per atom